First-principles (GGA+U) data for a relaxed WF6 crystal, as listed in Alexandria via LeMat-Bulk.

Geometry as CIF:
```
data_WF6
_cell_length_a 5.239
_cell_length_b 9.015
_cell_length_c 9.937
_cell_angle_alpha 90.00
_cell_angle_beta 90.00
_cell_angle_gamma 90.00
_symmetry_space_group_name_H-M 'P 1'
_symmetry_Int_Tables_number 1
loop_
_symmetry_equiv_pos_as_xyz
'x,y,z'
loop_
_atom_site_label
_atom_site_type_symbol
_atom_site_fract_x
_atom_site_fract_y
_atom_site_fract_z
_atom_site_occupancy
W1 W 0.585 0.750 0.372 1
W2 W 0.085 0.250 0.128 1
W3 W 0.415 0.250 0.628 1
W4 W 0.915 0.750 0.872 1
F1 F 0.564 0.397 0.736 1
F2 F 0.064 0.603 0.764 1
F3 F 0.436 0.897 0.264 1
F4 F 0.936 0.103 0.236 1
F5 F 0.204 0.750 0.984 1
F6 F 0.704 0.250 0.516 1
F7 F 0.796 0.250 0.016 1
F8 F 0.296 0.750 0.484 1
F9 F 0.625 0.750 0.760 1
F10 F 0.125 0.250 0.740 1
F11 F 0.375 0.250 0.240 1
F12 F 0.875 0.750 0.260 1
F13 F 0.764 0.897 0.980 1
F14 F 0.264 0.103 0.520 1
F15 F 0.236 0.397 0.020 1
F16 F 0.736 0.603 0.480 1
F17 F 0.236 0.103 0.020 1
F18 F 0.736 0.897 0.480 1
F19 F 0.764 0.603 0.980 1
F20 F 0.264 0.397 0.520 1
F21 F 0.064 0.897 0.764 1
F22 F 0.564 0.103 0.736 1
F23 F 0.936 0.397 0.236 1
F24 F 0.436 0.603 0.264 1
```

Values from the calculation:
density: 4.215 g cm⁻³
E: -147.47 eV for the cell shown